# Mn5Fe2GeMo2 PBE-GGA optimized geometry
# Energy of formation: 0.152 eV per atom
# Space-group type: No. 127
data_Mn5Fe2GeMo2
_cell_length_a 8.0250
_cell_length_b 8.0250
_cell_length_c 3.8373
_cell_angle_alpha 90.00
_cell_angle_beta 90.00
_cell_angle_gamma 90.00
_space_group_name_H-M_alt 'P 1'
_space_group_IT_number 1
loop_
_space_group_symop_operation_xyz
'x,y,z'
loop_
_atom_site_label
_atom_site_fract_x
_atom_site_fract_y
_atom_site_fract_z
Mn1 0.0000 0.5000 0.0000
Mn2 0.0705 0.1985 0.0000
Mn3 0.1985 0.9295 0.0000
Mn4 0.3015 0.4295 0.0000
Mn5 0.4295 0.6985 0.0000
Mn6 0.5000 0.0000 0.0000
Mn7 0.5705 0.3015 0.0000
Mn8 0.6985 0.5705 0.0000
Mn9 0.8015 0.0705 0.0000
Mn10 0.9295 0.8015 0.0000
Fe1 0.1332 0.3668 0.5000
Fe2 0.3668 0.8668 0.5000
Fe3 0.6332 0.1332 0.5000
Fe4 0.8668 0.6332 0.5000
Ge1 0.0000 0.0000 0.5000
Ge2 0.5000 0.5000 0.5000
Mo1 0.1621 0.6621 0.5000
Mo2 0.3379 0.1621 0.5000
Mo3 0.6621 0.8379 0.5000
Mo4 0.8379 0.3379 0.5000